No. 1
The following is a DFT calculation (PBEsol) of a relaxed Ba2ScMn crystal.

Cell: 3.6597 3.6597 33.4681 Å, 90.00 90.00 120.00°
Space group R-3m (No. 166, hexagonal axes)
Symmetry-distinct sites (fractional):
Ba 0.0000 0.0000 0.2420 [6 per cell]
Sc 0.0000 0.0000 0.0000 [3 per cell]
Mn 0.0000 0.0000 0.5000 [3 per cell]

Properties
Mass density, g/cm3: 4.81
VASP energy, eV per atom: -4.405
Magnetic moment, μB/f.u.: 3.360
Energy of formation from the pure elements, eV/atom: 0.761


No. 2
The following is a DFT calculation (PBEsol) of a relaxed Ba2ScMn crystal.

Cell: 3.779 5.376 12.288 Å, 90.00 90.00 90.00°
Space group Immm (No. 71)
Symmetry-distinct sites (fractional):
Ba 0.000 0.000 0.201 [4 per cell]
Sc 0.000 0.500 0.000 [2 per cell]
Mn 0.000 0.500 0.500 [2 per cell]

Properties
Mass density, g/cm3: 4.98
VASP energy, eV per atom: -4.491
Magnetic moment, μB/f.u.: 2.940
Energy of formation from the pure elements, eV/atom: 0.675


No. 3
The following is a DFT calculation (PBEsol) of a relaxed BaScMn2 crystal.

Cell: 5.124 5.124 3.393 Å, 90.00 90.00 90.00°
Space group P4/mmm (No. 123)
Symmetry-distinct sites (fractional):
Ba 0.000 0.000 0.000 [1 per cell]
Sc 0.500 0.500 0.000 [1 per cell]
Mn 0.000 0.500 0.500 [2 per cell]

Properties
Mass density, g/cm3: 5.45
VASP energy, eV per atom: -6.298
Magnetic moment, μB/f.u.: 6.409
Energy of formation from the pure elements, eV/atom: 0.771


No. 4
The following is a DFT calculation (PBEsol) of a relaxed BaScMn2 crystal.

Cell: 3.355 4.526 12.090 Å, 90.00 90.00 90.00°
Space group Imm2 (No. 44)
Symmetry-distinct sites (fractional):
Ba 0.000 0.000 0.000 [2 per cell]
Sc 0.000 0.500 0.236 [2 per cell]
Mn 0.000 0.000 0.348 [2 per cell]
Mn 0.000 0.500 0.750 [2 per cell]

Properties
Mass density, g/cm3: 5.28
VASP energy, eV per atom: -6.545
Magnetic moment, μB/f.u.: 0.001
Energy of formation from the pure elements, eV/atom: 0.524


No. 5
The following is a DFT calculation (PBEsol) of a relaxed Ba4MnSe crystal.

Cell: 9.854 9.854 9.854 Å, 90.00 90.00 90.00°
Space group F-43m (No. 216)
Symmetry-distinct sites (fractional):
Ba 0.124 0.124 0.124 [16 per cell]
Mn 0.000 0.000 0.500 [4 per cell]
Se 0.250 0.250 0.750 [4 per cell]

Properties
Formation energy without anion corrections, eV per atom: 0.538
Mass density, g/cm3: 4.74
VASP energy, eV per atom: -3.163
Magnetic moment, μB/f.u.: 3.113


No. 6
The following is a DFT calculation (PBEsol) of a relaxed BaMnSe4 crystal.

Cell: 8.316 8.316 8.316 Å, 90.00 90.00 90.00°
Space group F-43m (No. 216)
Symmetry-distinct sites (fractional):
Ba 0.000 0.000 0.000 [4 per cell]
Mn 0.250 0.250 0.750 [4 per cell]
Se 0.123 0.123 0.377 [16 per cell]

Properties
Formation energy without anion corrections, eV per atom: 0.005
Mass density, g/cm3: 5.87
VASP energy, eV per atom: -4.546
Magnetic moment, μB/f.u.: 5.549